Entry from Alexandria: a relaxed Ni2MoPtN crystal (GGA-PBE).

a = 3.8764 Å, b = 3.8764 Å, c = 4.0161 Å
α = 90.00°, β = 90.00°, γ = 90.00°
Last column: nearest neighbours and their distance in Å.
Fractional positions:
Ni  0.0000  0.5000  0.0000  2 N 1.94
Ni  0.5000  0.0000  0.0000  2 N 1.94
Mo  0.0000  0.0000  0.5000  2 N 2.01
Pt  0.5000  0.5000  0.5000  4 Mo 2.74, 8 Ni 2.79
N  0.0000  0.0000  0.0000  4 Ni 1.94, 2 Mo 2.01

Calculated values
Crystal system: tetragonal
Total DFT energy (no corrections): -37.21 eV per cell
E_form (uncorrected): -0.090 eV per atom

***

Entry from Alexandria: a relaxed Pu2NiMoN5 crystal (GGA-PBE).

a = 6.6282 Å, b = 6.6282 Å, c = 9.9241 Å
α = 90.00°, β = 90.00°, γ = 152.25°
Last column: nearest neighbours and their distance in Å.
Fractional positions:
Pu  0.1131  0.8869  0.5000  8 N 2.30-2.53
Pu  0.1383  0.8617  0.1180  5 N 2.26-2.37
Pu  0.8617  0.1383  0.6180  5 N 2.26-2.37
Pu  0.8869  0.1131  0.0000  8 N 2.30-2.53
Ni  0.4895  0.5105  0.2860  4 N 1.92-1.99
Ni  0.5105  0.4895  0.7860  4 N 1.92-1.99
Mo  0.1944  0.8056  0.8204  6 N 1.97-2.17
Mo  0.8056  0.1944  0.3204  6 N 1.97-2.17
N  0.0492  0.9508  0.8826  2 Ni 1.92, 1 Mo 1.97
N  0.2902  0.7098  0.4671  2 Mo 2.16, 3 Pu 2.30-2.37
N  0.3090  0.6910  0.1711  2 Mo 2.17, 1 Pu 2.26
N  0.3579  0.6421  0.8173  1 Ni 1.99, 1 Mo 2.10
N  0.4906  0.5094  0.5938  1 Ni 1.92
N  0.5094  0.4906  0.0938  1 Ni 1.92
N  0.6421  0.3579  0.3173  1 Ni 1.99, 1 Mo 2.10
N  0.6910  0.3090  0.6711  2 Mo 2.17, 1 Pu 2.26
N  0.7098  0.2902  0.9671  2 Mo 2.16, 3 Pu 2.30-2.37
N  0.9508  0.0492  0.3826  2 Ni 1.92, 1 Mo 1.97

Calculated values
Crystal system: orthorhombic
Total DFT energy (no corrections): -184.76 eV per cell
E_form (uncorrected): -0.608 eV per atom

***

Entry from Alexandria: a relaxed ReNiMo2N crystal (GGA-PBE).

a = 4.4287 Å, b = 4.4287 Å, c = 4.4012 Å
α = 90.00°, β = 90.00°, γ = 90.00°
Last column: nearest neighbours and their distance in Å.
Fractional positions:
Re  0.0000  0.0000  0.0000  2 Ni 2.20
Ni  0.0000  0.0000  0.5000  2 Re 2.20, 4 Mo 2.21
Mo  0.0000  0.5000  0.5000  2 Ni 2.21
Mo  0.5000  0.0000  0.5000  2 Ni 2.21
N  0.5000  0.5000  0.0000  8 Mo 3.12, 4 Re 3.13

Calculated values
Crystal system: tetragonal
Total DFT energy (no corrections): -35.41 eV per cell
E_form (uncorrected): 2.561 eV per atom

***

Entry from Alexandria: a relaxed NiMo2RuN crystal (GGA-PBE).

a = 4.0891 Å, b = 4.0891 Å, c = 3.8040 Å
α = 90.00°, β = 90.00°, γ = 90.00°
Last column: nearest neighbours and their distance in Å.
Fractional positions:
Ni  0.0000  0.0000  0.0000  2 N 1.90
Mo  0.0000  0.5000  0.5000  2 N 2.04
Mo  0.5000  0.0000  0.5000  2 N 2.04
Ru  0.5000  0.5000  0.0000  8 Mo 2.79, 4 Ni 2.89
N  0.0000  0.0000  0.5000  2 Ni 1.90, 4 Mo 2.04

Calculated values
Crystal system: tetragonal
Total DFT energy (no corrections): -45.10 eV per cell
E_form (uncorrected): -0.010 eV per atom

***

Entry from Alexandria: a relaxed NiMoSN2 crystal (GGA-PBE).

a = 3.8279 Å, b = 3.8279 Å, c = 5.0907 Å
α = 90.00°, β = 90.00°, γ = 90.00°
Last column: nearest neighbours and their distance in Å.
Fractional positions:
Ni  0.0000  0.0000  0.0000  4 S 2.71
Mo  0.5000  0.5000  0.5000  4 N 1.91
S  0.5000  0.5000  0.0000  2 Mo 2.55, 4 Ni 2.71
N  0.0000  0.5000  0.5000  2 Mo 1.91
N  0.5000  0.0000  0.5000  2 Mo 1.91

Calculated values
Crystal system: tetragonal
Total DFT energy (no corrections): -34.05 eV per cell
E_form (uncorrected): 0.669 eV per atom
Energy relative to the lowest polymorph listed for this composition: 0.000 eV per atom

***

Entry from Alexandria: a relaxed NiMoSN2 crystal (GGA-PBE).

a = 3.7015 Å, b = 3.7015 Å, c = 4.4402 Å
α = 90.00°, β = 90.00°, γ = 90.00°
Last column: nearest neighbours and their distance in Å.
Fractional positions:
Ni  0.0000  0.0000  0.0000  4 N 1.85
Mo  0.5000  0.5000  0.5000  4 S 2.62, 8 N 2.89
S  0.0000  0.0000  0.5000  2 Ni 2.22
N  0.0000  0.5000  0.0000  2 Ni 1.85
N  0.5000  0.0000  0.0000  2 Ni 1.85

Calculated values
Crystal system: tetragonal
Total DFT energy (no corrections): -31.30 eV per cell
E_form (uncorrected): 1.218 eV per atom
Energy relative to the lowest polymorph listed for this composition: 0.549 eV per atom

***

Entry from Alexandria: a relaxed TaNiMoN2 crystal (GGA-PBE).

a = 3.8339 Å, b = 3.8339 Å, c = 5.4824 Å
α = 90.00°, β = 90.00°, γ = 90.00°
Last column: nearest neighbours and their distance in Å.
Fractional positions:
Ta  0.0000  0.0000  0.0000  4 Ni 2.71, 2 Mo 2.74
Ni  0.5000  0.5000  0.0000  4 Ta 2.71
Mo  0.0000  0.0000  0.5000  4 N 1.92
N  0.0000  0.5000  0.5000  2 Mo 1.92
N  0.5000  0.0000  0.5000  2 Mo 1.92

Calculated values
Crystal system: tetragonal
Total DFT energy (no corrections): -39.10 eV per cell
E_form (uncorrected): 1.203 eV per atom

***

Entry from Alexandria: a relaxed NiTeMoN2 crystal (GGA-PBE).

a = 3.8598 Å, b = 3.8598 Å, c = 5.7593 Å
α = 90.00°, β = 90.00°, γ = 90.00°
Last column: nearest neighbours and their distance in Å.
Fractional positions:
Ni  0.0000  0.0000  0.0000  4 Te 2.73
Te  0.5000  0.5000  0.0000  4 Ni 2.73, 2 Mo 2.88
Mo  0.5000  0.5000  0.5000  4 N 1.93
N  0.0000  0.5000  0.5000  2 Mo 1.93
N  0.5000  0.0000  0.5000  2 Mo 1.93

Calculated values
Crystal system: tetragonal
Total DFT energy (no corrections): -33.22 eV per cell
E_form (uncorrected): 0.637 eV per atom
Energy relative to the lowest polymorph listed for this composition: 0.000 eV per atom

***

Entry from Alexandria: a relaxed NiTeMoN2 crystal (GGA-PBE).

a = 3.8593 Å, b = 3.8593 Å, c = 5.1510 Å
α = 90.00°, β = 90.00°, γ = 90.00°
Last column: nearest neighbours and their distance in Å.
Fractional positions:
Ni  0.0000  0.0000  0.0000  4 N 1.93
Te  0.0000  0.0000  0.5000  2 Ni 2.58, 4 Mo 2.73
Mo  0.5000  0.5000  0.5000  4 Te 2.73
N  0.0000  0.5000  0.0000  2 Ni 1.93
N  0.5000  0.0000  0.0000  2 Ni 1.93

Calculated values
Crystal system: tetragonal
Total DFT energy (no corrections): -28.78 eV per cell
E_form (uncorrected): 1.526 eV per atom
Energy relative to the lowest polymorph listed for this composition: 0.888 eV per atom

***

Entry from Alexandria: a relaxed NiTe2MoN crystal (GGA-PBE).

a = 5.3735 Å, b = 5.3735 Å, c = 3.7605 Å
α = 90.00°, β = 90.00°, γ = 90.00°
Last column: nearest neighbours and their distance in Å.
Fractional positions:
Ni  0.0000  0.0000  0.0000  8 Te 3.28
Te  0.0000  0.5000  0.5000  2 Mo 2.69
Te  0.5000  0.0000  0.5000  2 Mo 2.69
Mo  0.5000  0.5000  0.5000  2 N 1.88
N  0.5000  0.5000  0.0000  2 Mo 1.88

Calculated values
Crystal system: tetragonal
Total DFT energy (no corrections): -28.14 eV per cell
E_form (uncorrected): 0.616 eV per atom
Energy relative to the lowest polymorph listed for this composition: 0.000 eV per atom